[1]
Entry from the Alexandria database: crystalline AgRhI at its relaxed geometry (PBE).

abc: 4.4830 4.4831 8.7765
angles: 89.68 89.81 60.01
Space group P-1 (No. 2)
Unique sites:
Ag  0.0002  0.0018  0.3376
Rh  0.3333  0.3331  0.5223
I  0.3329  0.3297  0.8241

Calculated values
As for the energy above the most stable polymorph in this dataset: 32 meV per atom. As for the density: 7.341 g/cm3.

---

[2]
Entry from the Alexandria database: crystalline Ac2ErTaO8 at its relaxed geometry (PBE).

abc: 4.5014 7.1673 5.6002
angles: 90.00 93.71 90.00
Space group P2/m (No. 10)
Unique sites:
Ac  0.0000  0.2470  0.0000
Er  0.5000  0.5000  0.5000
Ta  0.5000  0.0000  0.5000
O  0.0635  0.0000  0.3814
O  0.0781  0.5000  0.2588
O  0.4559  0.2094  0.7325

Calculated values
As for the density: 8.567 g/cm3.

---

Calculated total energy values (in eV/atom) by entry order: -3.736 -8.203.